(1)
# Be2CrPb | the Alexandria database | meta-GGA SCAN | single point on PBEsol structure
# Crystal system: tetragonal
# N(E_F) in states/eV per cell: 2.3
# DFT total energy in eV per atom: -25.1786
data_Be2CrPb
_chemical_formula_sum 'Be2 Cr1 Pb1'
_cell_length_a 3.0384
_cell_length_b 3.0384
_cell_length_c 6.0405
_cell_angle_alpha 90.00
_cell_angle_beta 90.00
_cell_angle_gamma 90.00
_symmetry_space_group_name_H-M 'P 4 m m'
_symmetry_Int_Tables_number 99
loop_
_symmetry_equiv_pos_as_xyz
'x,y,z'
'-y,x,z'
'-x,-y,z'
'y,-x,z'
'-x,y,z'
'y,x,z'
'x,-y,z'
'-y,-x,z'
loop_
_atom_site_label
_atom_site_fract_x
_atom_site_fract_y
_atom_site_fract_z
_atom_site_occupancy
Be1 0.0000 0.0000 0.0000 1
Be2 0.5000 0.5000 0.1608 1
Cr1 0.0000 0.0000 0.3646 1
Pb1 0.5000 0.5000 0.6805 1



(2)
# Be2CrPb | the Alexandria database | meta-GGA SCAN | single point on PBEsol structure
# Crystal system: tetragonal
# N(E_F) in states/eV per cell: 4.1
# DFT total energy in eV per atom: -25.1863
data_Be2CrPb
_chemical_formula_sum 'Be4 Cr2 Pb2'
_cell_length_a 3.7403
_cell_length_b 3.7403
_cell_length_c 7.8667
_cell_angle_alpha 90.00
_cell_angle_beta 90.00
_cell_angle_gamma 90.00
_symmetry_space_group_name_H-M 'I 4/m m m'
_symmetry_Int_Tables_number 139
_symmetry_space_group_name_Hall '-I 4 2'
loop_
_atom_site_label
_atom_site_fract_x
_atom_site_fract_y
_atom_site_fract_z
_atom_site_occupancy
Be1 0.0000 0.5000 0.2500 1
Cr1 0.0000 0.0000 0.0000 1
Pb1 0.0000 0.0000 0.5000 1



(3)
# BeCrPb2 | the Alexandria database | meta-GGA SCAN | single point on PBEsol structure
# Crystal system: monoclinic
# N(E_F) in states/eV per cell: 3.5
# DFT total energy in eV per atom: -43.0635
data_BeCrPb2
_chemical_formula_sum 'Be2 Cr2 Pb4'
_cell_length_a 9.1967
_cell_length_b 4.1194
_cell_length_c 5.1163
_cell_angle_alpha 90.00
_cell_angle_beta 122.44
_cell_angle_gamma 90.00
_symmetry_space_group_name_H-M 'C 1 2/m 1'
_symmetry_Int_Tables_number 12
loop_
_symmetry_equiv_pos_as_xyz
'x,y,z'
'-x,-y,-z'
'-x,y,-z'
'x,-y,z'
'x+1/2,y+1/2,z'
'-x+1/2,-y+1/2,-z'
'-x+1/2,y+1/2,-z'
'x+1/2,-y+1/2,z'
loop_
_atom_site_label
_atom_site_fract_x
_atom_site_fract_y
_atom_site_fract_z
_atom_site_occupancy
Be1 0.0000 0.0000 0.0000 1
Cr1 0.0000 0.5000 0.5000 1
Pb1 0.2345 0.5000 0.2340 1



(4)
# BeCr2Pb | the Alexandria database | meta-GGA SCAN | single point on PBEsol structure
# Crystal system: tetragonal
# N(E_F) in states/eV per cell: 3.1
# DFT total energy in eV per atom: -28.8627
data_BeCr2Pb
_chemical_formula_sum 'Be2 Cr4 Pb2'
_cell_length_a 4.0158
_cell_length_b 4.0158
_cell_length_c 7.1127
_cell_angle_alpha 90.00
_cell_angle_beta 90.00
_cell_angle_gamma 90.00
_symmetry_space_group_name_H-M 'I -4 m 2'
_symmetry_Int_Tables_number 119
_symmetry_space_group_name_Hall 'I -4 -2'
loop_
_atom_site_label
_atom_site_fract_x
_atom_site_fract_y
_atom_site_fract_z
_atom_site_occupancy
Be1 0.0000 0.0000 0.0000 1
Cr1 0.0000 0.0000 0.5000 1
Cr2 0.0000 0.5000 0.7500 1
Pb1 0.0000 0.5000 0.2500 1



(5)
# BeCrPd2Rh | the Alexandria database | meta-GGA SCAN | single point on PBEsol structure
# Crystal system: tetragonal
# N(E_F) in states/eV per cell: 4.6
# DFT total energy in eV per atom: -23.5690
data_BeCrPd2Rh
_chemical_formula_sum 'Be1 Cr1 Pd2 Rh1'
_cell_length_a 4.7671
_cell_length_b 4.7671
_cell_length_c 3.9238
_cell_angle_alpha 90.00
_cell_angle_beta 90.00
_cell_angle_gamma 90.00
_symmetry_space_group_name_H-M 'P 4/m m m'
_symmetry_Int_Tables_number 123
_symmetry_space_group_name_Hall '-P 4 2'
loop_
_atom_site_label
_atom_site_fract_x
_atom_site_fract_y
_atom_site_fract_z
_atom_site_occupancy
Be1 0.0000 0.0000 0.0000 1
Cr1 0.5000 0.5000 0.0000 1
Pd1 0.0000 0.5000 0.5000 1
Rh1 0.0000 0.0000 0.5000 1



(6)
# BeCrSn2Pd | the Alexandria database | meta-GGA SCAN | single point on PBEsol structure
# Crystal system: tetragonal
# N(E_F) in states/eV per cell: 2.1
# DFT total energy in eV per atom: -25.1326
data_BeCrSn2Pd
_chemical_formula_sum 'Be1 Cr1 Sn2 Pd1'
_cell_length_a 4.7272
_cell_length_b 4.7272
_cell_length_c 4.2382
_cell_angle_alpha 90.00
_cell_angle_beta 90.00
_cell_angle_gamma 90.00
_symmetry_space_group_name_H-M 'P 4/m m m'
_symmetry_Int_Tables_number 123
_symmetry_space_group_name_Hall '-P 4 2'
loop_
_atom_site_label
_atom_site_fract_x
_atom_site_fract_y
_atom_site_fract_z
_atom_site_occupancy
Be1 0.0000 0.0000 0.0000 1
Cr1 0.5000 0.5000 0.5000 1
Sn1 0.0000 0.5000 0.0000 1
Pd1 0.0000 0.0000 0.5000 1



(7)
# Be2Cr2Pt | the Alexandria database | meta-GGA SCAN | single point on PBEsol structure
# Crystal system: tetragonal
# N(E_F) in states/eV per cell: 7.4
# DFT total energy in eV per atom: -23.0414
data_Be2Cr2Pt
_chemical_formula_sum 'Be4 Cr4 Pt2'
_cell_length_a 3.1966
_cell_length_b 3.1966
_cell_length_c 10.6427
_cell_angle_alpha 90.00
_cell_angle_beta 90.00
_cell_angle_gamma 90.00
_symmetry_space_group_name_H-M 'I 4/m m m'
_symmetry_Int_Tables_number 139
_symmetry_space_group_name_Hall '-I 4 2'
loop_
_atom_site_label
_atom_site_fract_x
_atom_site_fract_y
_atom_site_fract_z
_atom_site_occupancy
Be1 0.0000 0.0000 0.0925 1
Cr1 0.0000 0.5000 0.2500 1
Pt1 0.0000 0.0000 0.5000 1



(8)
# Be3CrPt | the Alexandria database | meta-GGA SCAN | single point on PBEsol structure
# Crystal system: cubic
# N(E_F) in states/eV per cell: 0.7
# DFT total energy in eV per atom: -19.2648
data_Be3CrPt
_chemical_formula_sum 'Be3 Cr1 Pt1'
_cell_length_a 3.8860
_cell_length_b 3.8860
_cell_length_c 3.8860
_cell_angle_alpha 90.00
_cell_angle_beta 90.00
_cell_angle_gamma 90.00
_symmetry_space_group_name_H-M 'P m -3 m'
_symmetry_Int_Tables_number 221
_symmetry_space_group_name_Hall '-P 4 2 3'
loop_
_atom_site_label
_atom_site_fract_x
_atom_site_fract_y
_atom_site_fract_z
_atom_site_occupancy
Be1 0.0000 0.0000 0.5000 1
Cr1 0.0000 0.0000 0.0000 1
Pt1 0.5000 0.5000 0.5000 1